Record 1
This record from the Alexandria database describes TmSc3Al4 after structural relaxation. The functional is GGA-PBE.

Properties
For the calculated total energy, the calculation gives -83.7 eV for the cell shown. Its formation energy from the elements is -427.3 meV/atom. The space-group type is No. 51.

a b c (Å): 5.1034 6.4263 9.8117
angles (deg): 90.00 90.00 90.00
Last column: nearest neighbours and their distance in Å.
Sites, in units of the cell vectors:
Sc (0.0000, 0.0000, 0.0000)  8 Al 2.96-2.98, 2 Sc 3.14, 2 Tm 3.21
Sc (0.3854, 0.0000, 0.2500)  8 Al 2.93-3.02, 4 Sc 3.14-3.21
Sc (0.5972, 0.5000, 0.7500)  8 Al 2.94-3.17, 2 Tm 3.20, 2 Sc 3.21
Sc (0.6146, 0.0000, 0.7500)  8 Al 2.93-3.02, 4 Sc 3.14-3.21
Sc (0.0000, 0.0000, 0.5000)  8 Al 2.96-2.98, 2 Sc 3.14, 2 Tm 3.21
Sc (0.4028, 0.5000, 0.2500)  8 Al 2.94-3.17, 2 Tm 3.20, 2 Sc 3.21
Al (0.5000, 0.7616, 0.5000)  6 Sc 2.95-3.01, 2 Tm 3.06, 3 Al 3.06-3.11
Al (0.5000, 0.2384, 0.5000)  6 Sc 2.95-3.01, 2 Tm 3.06, 3 Al 3.06-3.11
Al (0.1249, 0.2391, 0.7500)  6 Sc 2.93-3.17, 2 Tm 3.04, 3 Al 3.07-3.11
Al (0.5000, 0.2384, 0.0000)  6 Sc 2.95-3.01, 2 Tm 3.06, 3 Al 3.06-3.11
Al (0.1249, 0.7609, 0.7500)  6 Sc 2.93-3.17, 2 Tm 3.04, 3 Al 3.07-3.11
Al (0.8751, 0.7609, 0.2500)  6 Sc 2.93-3.17, 2 Tm 3.04, 3 Al 3.07-3.11
Al (0.5000, 0.7616, 0.0000)  6 Sc 2.95-3.01, 2 Tm 3.06, 3 Al 3.06-3.11
Al (0.8751, 0.2391, 0.2500)  6 Sc 2.93-3.17, 2 Tm 3.04, 3 Al 3.07-3.11
Tm (0.0000, 0.5000, 0.0000)  8 Al 3.04-3.06, 4 Sc 3.20-3.21
Tm (0.0000, 0.5000, 0.5000)  8 Al 3.04-3.06, 4 Sc 3.20-3.21

=====

Record 2
This record from the Alexandria database describes Tm5ScAl6 after structural relaxation. The functional is GGA-PBE.

Properties
For the calculated total energy, the calculation gives -55.9 eV for the cell shown. Its formation energy from the elements is -395.4 meV/atom. The space-group type is No. 71.

a b c (Å): 4.9941 8.6478 8.6478
angles (deg): 120.29 106.80 106.80
Last column: nearest neighbours and their distance in Å.
Sites, in units of the cell vectors:
Tm (0.0000, 0.3363, 0.6637)  8 Al 3.09-3.10
Tm (0.5000, 0.1719, 0.8281)  8 Al 3.02-3.07
Tm (0.0000, 0.6637, 0.3363)  8 Al 3.09-3.10
Tm (0.5000, 0.8281, 0.1719)  8 Al 3.02-3.07
Tm (0.5000, 0.5000, 0.5000)  8 Al 3.04-3.12
Al (0.7325, 0.2324, 0.2324)  2 Sc 2.98, 6 Tm 3.05-3.12, 1 Al 3.26
Al (0.7589, 0.9219, 0.5959)  1 Sc 2.97, 7 Tm 3.02-3.10
Al (0.2411, 0.0781, 0.4041)  1 Sc 2.97, 7 Tm 3.02-3.10
Al (0.7589, 0.5959, 0.9219)  1 Sc 2.97, 7 Tm 3.02-3.10
Al (0.2411, 0.4041, 0.0781)  1 Sc 2.97, 7 Tm 3.02-3.10
Al (0.2675, 0.7676, 0.7676)  2 Sc 2.98, 6 Tm 3.05-3.12, 1 Al 3.26
Sc (0.0000, 0.0000, 0.0000)  8 Al 2.97-2.98

=====

Record 3
This record from the Alexandria database describes Tm4Sc9Al11 after structural relaxation. The functional is GGA-PBE.

Properties
For the calculated total energy, the calculation gives -124.8 eV for the cell shown. Its formation energy from the elements is -366.9 meV/atom. The space-group type is No. 65.

a b c (Å): 3.1427 13.0999 13.0999
angles (deg): 112.19 90.00 90.00
Last column: nearest neighbours and their distance in Å.
Sites, in units of the cell vectors:
Tm (0.5000, 0.5968, 0.7610)  6 Al 3.06-3.17, 2 Tm 3.14, 3 Sc 3.17-3.19
Tm (0.5000, 0.4032, 0.2390)  6 Al 3.06-3.17, 2 Tm 3.14, 3 Sc 3.17-3.19
Tm (0.5000, 0.7610, 0.5968)  6 Al 3.06-3.17, 2 Tm 3.14, 3 Sc 3.17-3.19
Tm (0.5000, 0.2390, 0.4032)  6 Al 3.06-3.17, 2 Tm 3.14, 3 Sc 3.17-3.19
Sc (0.5000, 0.0058, 0.2025)  8 Al 2.93-3.06, 3 Sc 3.04-3.14, 1 Tm 3.19
Sc (0.5000, 0.6109, 0.1683)  8 Al 2.96-3.14, 3 Sc 3.14-3.23, 1 Tm 3.19
Sc (0.5000, 0.8317, 0.3891)  8 Al 2.96-3.14, 3 Sc 3.14-3.23, 1 Tm 3.19
Sc (0.5000, 0.5000, 0.5000)  4 Al 3.06, 2 Sc 3.14, 4 Tm 3.17
Sc (0.5000, 0.9942, 0.7975)  8 Al 2.93-3.06, 3 Sc 3.04-3.14, 1 Tm 3.19
Sc (0.5000, 0.1683, 0.6109)  8 Al 2.96-3.14, 3 Sc 3.14-3.23, 1 Tm 3.19
Sc (0.5000, 0.3891, 0.8317)  8 Al 2.96-3.14, 3 Sc 3.14-3.23, 1 Tm 3.19
Sc (0.5000, 0.2025, 0.0058)  8 Al 2.93-3.06, 3 Sc 3.04-3.14, 1 Tm 3.19
Sc (0.5000, 0.7975, 0.9942)  8 Al 2.93-3.06, 3 Sc 3.04-3.14, 1 Tm 3.19
Al (0.0000, 0.3790, 0.6210)  6 Sc 3.06-3.14, 2 Al 3.14, 4 Tm 3.17
Al (0.0000, 0.0000, 0.0000)  2 Al 2.78, 8 Sc 3.06
Al (0.0000, 0.0322, 0.4088)  3 Al 2.82-3.14, 6 Sc 2.99-3.03
Al (0.0000, 0.6210, 0.3790)  6 Sc 3.06-3.14, 2 Al 3.14, 4 Tm 3.17
Al (0.0000, 0.8101, 0.8101)  1 Al 2.78, 4 Sc 2.93, 4 Tm 3.06
Al (0.0000, 0.1907, 0.8093)  8 Sc 2.96-2.97, 4 Al 3.14-3.22
Al (0.0000, 0.1899, 0.1899)  1 Al 2.78, 4 Sc 2.93, 4 Tm 3.06
Al (0.0000, 0.9678, 0.5912)  3 Al 2.82-3.14, 6 Sc 2.99-3.03
Al (0.0000, 0.8093, 0.1907)  8 Sc 2.96-2.97, 4 Al 3.14-3.22
Al (0.0000, 0.4088, 0.0322)  3 Al 2.82-3.14, 6 Sc 2.99-3.03
Al (0.0000, 0.5912, 0.9678)  3 Al 2.82-3.14, 6 Sc 2.99-3.03

=====

Record 4
This record from the Alexandria database describes Tm4ScAl5 after structural relaxation. The functional is GGA-PBE.

Properties
For the calculated total energy, the calculation gives -46.9 eV for the cell shown. Its formation energy from the elements is -397.7 meV/atom. The space-group type is No. 123.

a b c (Å): 3.4987 3.4987 17.7708
angles (deg): 90.00 90.00 90.00
Last column: nearest neighbours and their distance in Å.
Sites, in units of the cell vectors:
Al (0.5000, 0.5000, 0.0888)  4 Sc 2.93, 4 Tm 3.09, 1 Al 3.16
Al (0.5000, 0.5000, 0.5000)  8 Tm 3.08
Al (0.5000, 0.5000, 0.9112)  4 Sc 2.93, 4 Tm 3.09, 1 Al 3.16
Al (0.5000, 0.5000, 0.7054)  8 Tm 3.07
Al (0.5000, 0.5000, 0.2946)  8 Tm 3.07
Tm (0.0000, 0.0000, 0.3971)  8 Al 3.07-3.08
Tm (0.0000, 0.0000, 0.8073)  8 Al 3.07-3.09, 1 Sc 3.42
Tm (0.0000, 0.0000, 0.6029)  8 Al 3.07-3.08
Tm (0.0000, 0.0000, 0.1927)  8 Al 3.07-3.09, 1 Sc 3.42
Sc (0.0000, 0.0000, 0.0000)  8 Al 2.93

=====

Record 5
This record from the Alexandria database describes TmScAl after structural relaxation. The functional is GGA-PBE.

Properties
As for the energy above the most stable polymorph in this dataset: 0.000 eV/atom. For the calculated total energy, the calculation gives -30.9 eV for the cell shown. Its formation energy from the elements is -296.0 meV/atom. The space-group type is No. 63.

a b c (Å): 3.5591 5.0318 7.9809
angles (deg): 90.00 102.90 90.00
Last column: nearest neighbours and their distance in Å.
Sites, in units of the cell vectors:
Sc (0.2688, 0.7500, 0.5374)  2 Al 2.90, 4 Sc 3.14
Sc (0.7312, 0.2500, 0.4626)  2 Al 2.90, 4 Sc 3.14
Al (0.9160, 0.7500, 0.8318)  2 Sc 2.90, 6 Tm 3.08-3.12
Al (0.0840, 0.2500, 0.1682)  2 Sc 2.90, 6 Tm 3.08-3.12
Tm (0.4197, 0.2500, 0.8394)  6 Al 3.08-3.12, 4 Sc 3.43-3.44
Tm (0.5803, 0.7500, 0.1606)  6 Al 3.08-3.12, 4 Sc 3.43-3.44

=====

Record 6
This record from the Alexandria database describes TmScAl after structural relaxation. The functional is GGA-PBE.

Properties
As for the energy above the most stable polymorph in this dataset: 0.203 eV/atom. For the calculated total energy, the calculation gives -29.6 eV for the cell shown. Its formation energy from the elements is -92.7 meV/atom. The space-group type is No. 129.

a b c (Å): 4.5025 4.5025 7.2751
angles (deg): 90.00 90.00 90.00
Last column: nearest neighbours and their distance in Å.
Sites, in units of the cell vectors:
Sc (0.0000, 0.5000, 0.2389)  4 Al 2.84
Sc (0.5000, 0.0000, 0.7611)  4 Al 2.84
Al (0.5000, 0.5000, 0.0000)  4 Sc 2.84, 4 Tm 3.15, 4 Al 3.18
Al (0.0000, 0.0000, 0.0000)  4 Sc 2.84, 4 Tm 3.15, 4 Al 3.18
Tm (0.0000, 0.5000, 0.6975)  4 Al 3.15, 5 Sc 3.22-3.34
Tm (0.5000, 0.0000, 0.3025)  4 Al 3.15, 5 Sc 3.22-3.34

=====

Copy entry 3 word for word.
This record from the Alexandria database describes Tm4Sc9Al11 after structural relaxation. The functional is GGA-PBE.

Properties
For the calculated total energy, the calculation gives -124.8 eV for the cell shown. Its formation energy from the elements is -366.9 meV/atom. The space-group type is No. 65.

a b c (Å): 3.1427 13.0999 13.0999
angles (deg): 112.19 90.00 90.00
Last column: nearest neighbours and their distance in Å.
Sites, in units of the cell vectors:
Tm (0.5000, 0.5968, 0.7610)  6 Al 3.06-3.17, 2 Tm 3.14, 3 Sc 3.17-3.19
Tm (0.5000, 0.4032, 0.2390)  6 Al 3.06-3.17, 2 Tm 3.14, 3 Sc 3.17-3.19
Tm (0.5000, 0.7610, 0.5968)  6 Al 3.06-3.17, 2 Tm 3.14, 3 Sc 3.17-3.19
Tm (0.5000, 0.2390, 0.4032)  6 Al 3.06-3.17, 2 Tm 3.14, 3 Sc 3.17-3.19
Sc (0.5000, 0.0058, 0.2025)  8 Al 2.93-3.06, 3 Sc 3.04-3.14, 1 Tm 3.19
Sc (0.5000, 0.6109, 0.1683)  8 Al 2.96-3.14, 3 Sc 3.14-3.23, 1 Tm 3.19
Sc (0.5000, 0.8317, 0.3891)  8 Al 2.96-3.14, 3 Sc 3.14-3.23, 1 Tm 3.19
Sc (0.5000, 0.5000, 0.5000)  4 Al 3.06, 2 Sc 3.14, 4 Tm 3.17
Sc (0.5000, 0.9942, 0.7975)  8 Al 2.93-3.06, 3 Sc 3.04-3.14, 1 Tm 3.19
Sc (0.5000, 0.1683, 0.6109)  8 Al 2.96-3.14, 3 Sc 3.14-3.23, 1 Tm 3.19
Sc (0.5000, 0.3891, 0.8317)  8 Al 2.96-3.14, 3 Sc 3.14-3.23, 1 Tm 3.19
Sc (0.5000, 0.2025, 0.0058)  8 Al 2.93-3.06, 3 Sc 3.04-3.14, 1 Tm 3.19
Sc (0.5000, 0.7975, 0.9942)  8 Al 2.93-3.06, 3 Sc 3.04-3.14, 1 Tm 3.19
Al (0.0000, 0.3790, 0.6210)  6 Sc 3.06-3.14, 2 Al 3.14, 4 Tm 3.17
Al (0.0000, 0.0000, 0.0000)  2 Al 2.78, 8 Sc 3.06
Al (0.0000, 0.0322, 0.4088)  3 Al 2.82-3.14, 6 Sc 2.99-3.03
Al (0.0000, 0.6210, 0.3790)  6 Sc 3.06-3.14, 2 Al 3.14, 4 Tm 3.17
Al (0.0000, 0.8101, 0.8101)  1 Al 2.78, 4 Sc 2.93, 4 Tm 3.06
Al (0.0000, 0.1907, 0.8093)  8 Sc 2.96-2.97, 4 Al 3.14-3.22
Al (0.0000, 0.1899, 0.1899)  1 Al 2.78, 4 Sc 2.93, 4 Tm 3.06
Al (0.0000, 0.9678, 0.5912)  3 Al 2.82-3.14, 6 Sc 2.99-3.03
Al (0.0000, 0.8093, 0.1907)  8 Sc 2.96-2.97, 4 Al 3.14-3.22
Al (0.0000, 0.4088, 0.0322)  3 Al 2.82-3.14, 6 Sc 2.99-3.03
Al (0.0000, 0.5912, 0.9678)  3 Al 2.82-3.14, 6 Sc 2.99-3.03